Entry 1:
AgAsOs3: optimized geometry, PBE.

Cell and atoms, written as POSCAR:
```
AgAsOs3
1.0
4.7602 0.0000 0.0000
0.0000 4.7602 0.0000
0.0000 0.0000 4.7602
Ag As Os
1 1 3
Cartesian
0.0000 0.0000 0.0000
2.3801 2.3801 2.3801
0.0000 0.0000 2.3801
0.0000 2.3801 0.0000
2.3801 0.0000 0.0000
```

Computed properties:
Distance to the lowest polymorph of the same formula ... 7.28 eV per formula unit
V ... 107.86 Å³ per cell
ΔE_f ... 15.7 eV per formula unit

Entry 2:
Nd6BSe12: optimized geometry, PBE.

Cell and atoms, written as POSCAR:
```
Nd6BSe12
1.0
6.2485 3.6076 3.9198
-6.2485 3.6076 3.9198
0.0000 -7.2151 3.9198
Nd B Se
6 1 12
Cartesian
-0.9843 -3.0534 4.1220
-2.1522 2.3792 4.1220
-3.1365 -0.6743 7.6374
3.1365 0.6743 4.1220
2.1522 -2.3791 7.6374
0.9843 3.0534 7.6374
0.0000 0.0000 0.0000
-5.7942 -1.6178 6.5702
-1.4960 -5.8268 5.1892
-2.4731 -0.4690 4.7032
-4.2982 4.2090 5.1892
-0.8303 -2.3763 7.0562
1.6428 -1.9072 4.7032
-1.6427 1.9072 7.0562
0.8304 2.3763 4.7032
4.2982 -4.2090 6.5702
2.4731 0.4690 7.0562
1.4960 5.8268 6.5702
5.7942 1.6178 5.1892
```

Computed properties:
Formation energy from raw total energies ... -1.245 eV per atom
V ... 530.15 Å³ per cell